This record from Alexandria describes Na3VS2O8F2 at its PBEsol-relaxed geometry. The functional is SCAN.

Structure (extended XYZ):
```
64
Lattice="6.639 0.000 0.000 0.000 8.880 0.000 0.000 0.000 13.845" Properties=species:S:1:pos:R:3 pbc="T T T"
Na 3.427 5.952 12.475
Na 0.108 7.368 8.292
Na 3.212 1.512 8.292
Na 6.532 2.928 12.475
Na 3.212 2.928 1.369
Na 6.532 1.512 5.553
Na 3.427 7.368 5.553
Na 0.108 5.952 1.369
Na 4.980 0.000 0.636
Na 1.660 4.440 6.286
Na 1.660 0.000 13.208
Na 4.980 4.440 7.559
V 4.980 0.000 11.083
V 1.660 4.440 9.684
V 1.660 0.000 2.762
V 4.980 4.440 4.160
S 6.638 6.177 11.873
S 3.318 7.143 8.894
S 0.001 1.737 8.894
S 3.321 2.703 11.873
S 0.001 2.703 1.972
S 3.321 1.737 4.950
S 6.638 7.143 4.950
S 3.318 6.177 1.972
O 2.976 3.961 11.090
O 6.296 0.479 9.677
O 3.664 8.401 9.677
O 0.344 4.919 11.090
O 3.664 4.919 2.754
O 0.344 8.401 4.168
O 2.976 0.479 4.168
O 6.296 3.961 2.754
O 1.221 6.828 12.330
O 4.541 6.492 8.437
O 5.418 2.388 8.437
O 2.099 2.052 12.330
O 5.418 2.052 1.514
O 2.099 2.388 5.408
O 1.221 6.492 5.408
O 4.541 6.828 1.514
O 5.781 5.752 12.987
O 2.462 7.568 7.780
O 0.858 1.312 7.780
O 4.178 3.128 12.987
O 0.858 3.128 0.858
O 4.178 1.312 6.065
O 5.781 7.568 6.065
O 2.462 5.752 0.858
O 2.551 6.272 9.840
O 5.870 7.048 10.927
O 4.089 1.832 10.927
O 0.769 2.608 9.840
O 4.089 2.608 4.005
O 0.769 1.832 2.918
O 2.551 7.048 2.918
O 5.870 6.272 4.005
F 3.820 8.270 12.474
F 0.500 5.050 8.293
F 2.820 3.830 8.293
F 6.139 0.610 12.474
F 2.820 0.610 1.371
F 6.139 3.830 5.552
F 3.820 5.050 5.552
F 0.500 8.270 1.371
```

Raw formation energy, eV/atom: -2.2493
M_tot, μB per formula unit: 2.00
Space-group type: Pbcn
Calculated volume, Å³ per cell: 816.3